# 1
This record from Alexandria via LeMat-Bulk describes crystalline Ba2MgTl at its relaxed geometry. The functional is PBEsol.

## Properties
Total magnetization = 0.00 μB per formula unit
Calculated formation energy = -257.2 meV/atom
VASP energy = -2.418 eV per atom

Cell lengths 6.0253, 6.0253, 4.1682 Å; angles 90.00, 90.00, 90.00 degrees
With the nearest neighbours (Å) after each atom.
Space group P4/mmm (No. 123)
Unique sites:
1 Ba 0.0000 0.5000 0.0000  4 Tl 3.66, 4 Mg 3.66
2 Mg 0.0000 0.0000 0.5000  8 Ba 3.66
3 Tl 0.5000 0.5000 0.5000  8 Ba 3.66

=====

# 2
This record from Alexandria via LeMat-Bulk describes crystalline Ba2MgTl at its relaxed geometry. The functional is PBEsol.

## Properties
Total magnetization = 0.00 μB per formula unit
Calculated formation energy = -242.2 meV/atom
VASP energy = -2.403 eV per atom

Cell lengths 4.1286, 5.9387, 12.0565 Å; angles 90.00, 90.00, 90.00 degrees
With the nearest neighbours (Å) after each atom.
Space group Imm2 (No. 44)
Unique sites:
1 Ba 0.0000 0.0000 0.0000  4 Tl 3.67, 2 Ba 3.77, 4 Mg 3.88-4.05
2 Ba 0.0000 0.5000 0.1930  2 Tl 3.62, 4 Mg 3.74, 2 Ba 3.77
3 Mg 0.0000 0.5000 0.7721  2 Tl 2.95
4 Tl 0.0000 0.0000 0.4467  2 Mg 2.95

=====

# 3
This record from Alexandria via LeMat-Bulk describes crystalline BaMgW at its relaxed geometry. The functional is PBEsol.

## Properties
Total magnetization = 0.00 μB per formula unit
Calculated formation energy = 935.1 meV/atom
VASP energy = -4.956 eV per atom

Cell lengths 2.9868, 2.9868, 16.0019 Å; angles 90.00, 90.00, 90.00 degrees
With the nearest neighbours (Å) after each atom.
Space group I4mm (No. 107)
Unique sites:
1 Ba 0.0000 0.0000 0.0000  4 Ba 2.99
2 Mg 0.0000 0.0000 0.2984  4 W 2.92, 4 Mg 2.99
3 W 0.0000 0.0000 0.6727  4 Mg 2.92, 4 W 2.99

=====

# 4
This record from Alexandria via LeMat-Bulk describes crystalline Ba3MgW at its relaxed geometry. The functional is PBEsol.

## Properties
Total magnetization = 0.00 μB per formula unit
Calculated formation energy = 901.2 meV/atom
VASP energy = -3.493 eV per atom

Cell lengths 5.9672, 5.9672, 5.9672 Å; angles 90.00, 90.00, 90.00 degrees
With the nearest neighbours (Å) after each atom.
Space group Pm-3m (No. 221)
Unique sites:
1 Ba 0.0000 0.0000 0.5000  2 W 2.98
2 Mg 0.5000 0.5000 0.5000  12 Ba 4.22
3 W 0.0000 0.0000 0.0000  6 Ba 2.98

=====

# 5
This record from Alexandria via LeMat-Bulk describes crystalline BaMg3W at its relaxed geometry. The functional is PBEsol.

## Properties
Total magnetization = 1.78 μB per formula unit
Calculated formation energy = 809.5 meV/atom
VASP energy = -3.412 eV per atom

Cell lengths 5.3169, 5.3169, 5.3169 Å; angles 90.00, 90.00, 90.00 degrees
With the nearest neighbours (Å) after each atom.
Space group Pm-3m (No. 221)
Unique sites:
1 Ba 0.0000 0.0000 0.0000  12 Mg 3.76
2 Mg 0.0000 0.5000 0.5000  2 W 2.66
3 W 0.5000 0.5000 0.5000  6 Mg 2.66

=====

# 6
This record from Alexandria via LeMat-Bulk describes crystalline BaYMg2 at its relaxed geometry. The functional is PBEsol.

## Properties
Total magnetization = 0.01 μB per formula unit
Calculated formation energy = -42.8 meV/atom
VASP energy = -3.144 eV per atom

Cell lengths 3.9196, 3.9196, 8.3346 Å; angles 90.00, 90.00, 90.00 degrees
With the nearest neighbours (Å) after each atom.
Space group P4/mmm (No. 123)
Unique sites:
1 Ba 0.0000 0.0000 0.0000  8 Mg 3.69, 4 Ba 3.92
2 Y 0.0000 0.0000 0.5000  8 Mg 3.26
3 Mg 0.5000 0.5000 0.2931  4 Y 3.26, 1 Mg 3.45